# 1
DFT (PBE) results for an optimized crystal structure of PuTlSb.

## Properties
- Polymorph energy (0 for the lowest one): 0.0 kJ per mole of atoms

POSCAR file:
```
PuTlSb
1.0
8.8364 0.0000 0.0000
0.0000 6.2969 0.0000
0.0000 0.0000 6.2972
Pu Tl Sb
4 4 4
direct
0.1761 0.2500 0.0000 Pu
0.1761 0.7500 0.5000 Pu
0.8239 0.2500 0.5000 Pu
0.8239 0.7500 0.0000 Pu
0.5000 0.0000 0.2542 Tl
0.5000 0.0000 0.7542 Tl
0.5000 0.5000 0.2542 Tl
0.5000 0.5000 0.7542 Tl
0.1764 0.2500 0.5000 Sb
0.1764 0.7500 0.0000 Sb
0.8236 0.2500 0.0000 Sb
0.8236 0.7500 0.5000 Sb
```

---

# 2
DFT (PBE) results for an optimized crystal structure of LiMg4Sn5.

## Properties
- Energy of formation from the pure elements: -1.40 eV/f.u.

POSCAR file:
```
LiMg4Sn5
1.0
3.7134 0.0000 0.0000
0.0000 3.7134 0.0000
0.0000 0.0000 17.1249
Li Mg Sn
1 4 5
direct
0.0000 0.0000 0.0000 Li
0.0000 0.0000 0.1955 Mg
0.0000 0.0000 0.3972 Mg
0.0000 0.0000 0.6028 Mg
0.0000 0.0000 0.8045 Mg
0.5000 0.5000 0.0957 Sn
0.5000 0.5000 0.2973 Sn
0.5000 0.5000 0.5000 Sn
0.5000 0.5000 0.7027 Sn
0.5000 0.5000 0.9043 Sn
```

---

# 3
DFT (PBE) results for an optimized crystal structure of PmAg2SbSe4.

## Properties
- E: -4.22 eV/atom

POSCAR file:
```
PmAg2SbSe4
1.0
-4.0690 4.1893 5.8867
4.0690 -4.1893 5.8867
4.0690 4.1893 -5.8867
Pm Ag Sb Se
2 4 2 8
direct
0.0000 0.0000 0.0000 Pm
0.5000 0.0000 0.5000 Pm
0.0000 0.5000 0.5000 Ag
0.5000 0.0000 0.0000 Ag
0.5000 0.5000 0.0000 Ag
0.5000 0.5000 0.5000 Ag
0.0000 0.0000 0.5000 Sb
0.0000 0.5000 0.0000 Sb
0.2464 0.2504 0.5039 Se
0.2464 0.7425 0.9961 Se
0.2482 0.7479 0.5003 Se
0.2524 0.2521 0.0003 Se
0.7476 0.7479 0.9997 Se
0.7518 0.2521 0.4997 Se
0.7536 0.2575 0.0039 Se
0.7536 0.7496 0.4961 Se
```

---

# 4
DFT (PBE) results for an optimized crystal structure of LaMg2BeSb.

## Properties
- E: -1.95 eV/atom

POSCAR file:
```
LaMg2BeSb
1.0
6.5853 0.0000 0.0000
0.0000 6.5853 0.0000
0.0000 0.0000 5.8929
La Mg Be Sb
1 2 1 1
direct
0.0000 0.0000 0.0000 La
0.0000 0.5000 0.0000 Mg
0.5000 0.0000 0.0000 Mg
0.5000 0.5000 0.5000 Be
0.0000 0.0000 0.5000 Sb
```

---

# 5
DFT (PBE) results for an optimized crystal structure of Cd2Ir2Pt.

## Properties
- Energy of formation from the pure elements: 0.90 eV/f.u.

POSCAR file:
```
Cd2Ir2Pt
1.0
6.6138 0.0000 0.0000
0.0000 6.6138 0.0000
0.0000 0.0000 4.2539
Cd Ir Pt
4 4 2
direct
0.1749 0.3251 0.0000 Cd
0.3251 0.8251 0.0000 Cd
0.6749 0.1749 0.0000 Cd
0.8251 0.6749 0.0000 Cd
0.1289 0.6289 0.5000 Ir
0.3711 0.1289 0.5000 Ir
0.6289 0.8711 0.5000 Ir
0.8711 0.3711 0.5000 Ir
0.0000 0.0000 0.5000 Pt
0.5000 0.5000 0.5000 Pt
```

---

# 6
DFT (PBE) results for an optimized crystal structure of PrNd4Dy6.

## Properties
- Energy of formation from the pure elements: 3.38 eV/f.u.
- Polymorph energy (0 for the lowest one): 15.1 kJ per mole of atoms

POSCAR file:
```
PrNd4Dy6
1.0
-3.3552 3.3552 8.5157
3.3552 -3.3552 8.5157
3.3552 3.3552 -8.5157
Pr Nd Dy
1 4 6
direct
0.0000 0.0000 0.0000 Pr
0.0145 0.0145 0.3810 Nd
0.3665 0.9855 0.0000 Nd
0.6335 0.6335 0.6190 Nd
0.9855 0.3665 0.0000 Nd
0.0000 0.5000 0.5000 Dy
0.1980 0.5533 0.0000 Dy
0.4467 0.4467 0.6447 Dy
0.5000 0.0000 0.5000 Dy
0.5533 0.1980 0.0000 Dy
0.8020 0.8020 0.3553 Dy
```

---

# 7
DFT (PBE) results for an optimized crystal structure of Pr6YTe8.

## Properties
- E: -5.48 eV/atom

POSCAR file:
```
Pr6YTe8
1.0
0.0000 6.3784 6.3784
6.3784 0.0000 6.3784
6.3784 6.3784 0.0000
Pr Y Te
6 1 8
direct
0.0000 0.0000 0.5000 Pr
0.0000 0.5000 0.0000 Pr
0.0000 0.5000 0.5000 Pr
0.5000 0.0000 0.0000 Pr
0.5000 0.0000 0.5000 Pr
0.5000 0.5000 0.0000 Pr
0.0000 0.0000 0.0000 Y
0.2481 0.2481 0.7519 Te
0.2481 0.7519 0.2481 Te
0.2481 0.7519 0.7519 Te
0.2500 0.2500 0.2500 Te
0.7500 0.7500 0.7500 Te
0.7519 0.2481 0.2481 Te
0.7519 0.2481 0.7519 Te
0.7519 0.7519 0.2481 Te
```

---

# 8
DFT (PBE) results for an optimized crystal structure of CeYGe.

## Properties
- Energy of formation from the pure elements: -2.12 eV/f.u.

POSCAR file:
```
CeYGe
1.0
4.1920 0.0000 0.0000
0.0000 4.1920 0.0000
0.0000 0.0000 16.8788
Ce Y Ge
4 4 4
direct
0.0000 0.5000 0.0000 Ce
0.0000 0.5000 0.5000 Ce
0.5000 0.0000 0.0000 Ce
0.5000 0.0000 0.5000 Ce
0.0000 0.0000 0.1798 Y
0.0000 0.0000 0.8202 Y
0.5000 0.5000 0.3202 Y
0.5000 0.5000 0.6798 Y
0.0000 0.0000 0.3597 Ge
0.0000 0.0000 0.6403 Ge
0.5000 0.5000 0.1403 Ge
0.5000 0.5000 0.8597 Ge
```

---

# 9
DFT (PBE) results for an optimized crystal structure of GaNiHg.

## Properties
- Energy of formation from the pure elements: -0.31 eV/f.u.
- Polymorph energy (0 for the lowest one): 3.8 kJ per mole of atoms

POSCAR file:
```
GaNiHg
1.0
2.8109 0.0000 0.0000
0.0000 4.0294 0.0000
0.0000 0.0000 4.7506
Ga Ni Hg
1 1 1
direct
0.0000 0.0000 0.0000 Ga
0.5000 0.5000 0.0000 Ni
0.0000 0.5000 0.5000 Hg
```

---

# 10
DFT (PBE) results for an optimized crystal structure of Al2PPt.

## Properties
- Energy of formation from the pure elements: -2.13 eV/f.u.

POSCAR file:
```
Al2PPt
1.0
3.4860 0.0000 0.0000
0.0000 3.4991 0.0000
-1.6731 0.0000 5.1701
Al P Pt
2 1 1
direct
0.0000 0.0000 0.0000 Al
0.3306 0.5000 0.6461 Al
0.5553 0.5000 0.1158 P
0.7621 0.0000 0.5004 Pt
```

---

# 11
DFT (PBE) results for an optimized crystal structure of MgTlRh2Se.

## Properties
- E: -3.73 eV/atom

POSCAR file:
```
MgTlRh2Se
1.0
4.8072 0.0000 0.0000
0.0000 4.8072 0.0000
0.0000 0.0000 4.7315
Mg Tl Rh Se
1 1 2 1
direct
0.0000 0.0000 0.0000 Mg
0.5000 0.5000 0.5000 Tl
0.0000 0.5000 0.0000 Rh
0.5000 0.0000 0.0000 Rh
0.0000 0.0000 0.5000 Se
```

---

# 12
DFT (PBE) results for an optimized crystal structure of Ag2Hg2Au3.

## Properties
- Energy of formation from the pure elements: 1.23 eV/f.u.
- Polymorph energy (0 for the lowest one): 11.7 kJ per mole of atoms

POSCAR file:
```
Ag2Hg2Au3
1.0
2.9352 0.0000 0.0000
0.0000 4.2017 0.0000
-1.4101 0.0000 13.6200
Ag Hg Au
2 2 3
direct
0.1635 0.0000 0.3188 Ag
0.8365 0.0000 0.6812 Ag
0.3897 0.5000 0.8026 Hg
0.6103 0.5000 0.1974 Hg
0.2920 0.5000 0.5871 Au
0.5000 0.5000 0.0000 Au
0.7080 0.5000 0.4129 Au
```